# 1
Entry from Alexandria: crystalline K2MgSi at its relaxed geometry (GGA-PBEsol).

## Properties
The calculation puts the formation energy (no corrections) at 13 kJ/mol of atoms. The calculation puts the total energy at -9.2 eV per cell. As for the space group: Imm2, No. 44.

The structure in POSCAR format:
```
K2MgSi
1.0
-2.037 1.742 3.845
4.652 -1.937 3.342
0.941 4.281 -4.298
K Mg Si
2 1 1
Cartesian
3.396 3.791 2.939
0.223 3.181 1.533
1.653 0.547 3.485
3.146 0.558 1.414
```

---

# 2
Entry from Alexandria: crystalline K2MgSi at its relaxed geometry (GGA-PBEsol).

## Properties
The calculation puts the formation energy (no corrections) at 42 kJ/mol of atoms. The calculation puts the total energy at -8.0 eV per cell. As for the space group: P2/m, No. 10.

The structure in POSCAR format:
```
K2MgSi
1.0
-0.933 -0.432 -3.639
4.087 -3.700 -0.609
-3.582 -4.291 2.033
K Mg Si
2 1 1
Cartesian
-3.484 -3.543 -1.857
-1.031 -1.180 0.252
1.577 -2.066 -2.124
-0.214 -4.212 -1.107
```

---

# 3
Entry from Alexandria: crystalline KMgSi at its relaxed geometry (GGA-PBEsol).

## Properties
The calculation puts the formation energy (no corrections) at 37 kJ/mol of atoms. The calculation puts the total energy at -7.4 eV per cell. For the relative energy among the computed polymorphs, the calculation gives 173 meV/atom. As for the space group: P3m1, No. 156.

The structure in POSCAR format:
```
KMgSi
1.0
3.311 0.000 0.000
-1.656 2.868 0.000
0.000 0.000 8.073
Mg Si K
1 1 1
Cartesian
0.000 1.912 4.933
1.656 0.956 2.906
0.000 0.000 0.233
```

---

# 4
Entry from Alexandria: crystalline KMgSi2 at its relaxed geometry (GGA-PBEsol).

## Properties
The calculation puts the formation energy (no corrections) at 16 kJ/mol of atoms. The calculation puts the total energy at -13.7 eV per cell. As for the space group: Cm, No. 8.

The structure in POSCAR format:
```
KMgSi2
1.0
3.755 0.000 0.000
-1.877 3.751 -0.019
0.000 -1.821 7.646
K Mg Si
1 1 2
Cartesian
1.877 -0.839 4.234
1.877 1.354 1.058
1.877 1.889 7.152
0.000 0.546 6.633
```

---

# 5
Entry from Alexandria: crystalline KMgSi at its relaxed geometry (GGA-PBEsol).

## Properties
The calculation puts the formation energy (no corrections) at 20 kJ/mol of atoms. The calculation puts the total energy at -8.0 eV per cell. For the relative energy among the computed polymorphs, the calculation gives 0 meV/atom. As for the space group: P-6m2, No. 187.

The structure in POSCAR format:
```
KMgSi
1.0
3.977 0.000 0.000
0.000 4.829 0.000
0.000 -2.414 4.182
Mg K Si
1 1 1
Cartesian
0.000 0.000 2.788
1.989 0.000 0.000
0.000 2.414 1.394
```

---

# 6
Entry from Alexandria: crystalline KMgSi at its relaxed geometry (GGA-PBEsol).

## Properties
The calculation puts the formation energy (no corrections) at 96 kJ/mol of atoms. The calculation puts the total energy at -5.6 eV per cell. For the relative energy among the computed polymorphs, the calculation gives 784 meV/atom. As for the space group: F-43m, No. 216.

The structure in POSCAR format:
```
KMgSi
1.0
5.138 0.000 0.000
2.569 4.450 0.000
2.569 1.483 4.195
Mg K Si
1 1 1
Cartesian
0.000 0.000 0.000
2.569 1.483 1.049
5.138 2.967 2.098
```